#one
# IrPtSe, optimized geometry, DFT PBE
# Volume: 16.60 Å³/atom
# N(E_F): 11.16 states/eV per cell
# Spin magnetization: 0.000 μB/f.u.
data_IrPtSe
_chemical_formula_sum 'Ir4 Pt4 Se4'
_space_group_name_H-M_alt 'F m m 2'
_space_group_IT_number 42
_space_group_name_Hall 'F 2 -2'
_cell_length_a 2.802
_cell_length_b 4.949
_cell_length_c 14.365
_cell_angle_alpha 90.00
_cell_angle_beta 90.00
_cell_angle_gamma 90.00
loop_
_atom_site_label
_atom_site_type_symbol
_atom_site_fract_x
_atom_site_fract_y
_atom_site_fract_z
Ir1 Ir 0.000 0.000 0.000
Pt1 Pt 0.000 0.000 0.665
Se1 Se 0.000 0.000 0.353

#two
# IrPtSe, optimized geometry, DFT PBE
# Volume: 16.21 Å³/atom
# N(E_F): 7.34 states/eV per cell
# Spin magnetization: 0.000 μB/f.u.
data_IrPtSe
_chemical_formula_sum 'Ir2 Pt2 Se2'
_space_group_name_H-M_alt 'P -6 m 2'
_space_group_IT_number 187
_space_group_name_Hall 'P -6 2'
_cell_length_a 3.0084
_cell_length_b 3.0084
_cell_length_c 12.4135
_cell_angle_alpha 90.00
_cell_angle_beta 90.00
_cell_angle_gamma 120.00
loop_
_atom_site_label
_atom_site_type_symbol
_atom_site_fract_x
_atom_site_fract_y
_atom_site_fract_z
Ir1 Ir 0.0000 0.0000 0.0000
Ir2 Ir 0.0000 0.0000 0.5000
Pt1 Pt 0.3333 0.6667 0.1717
Se1 Se 0.6667 0.3333 0.3370

#three
# IrPtSe, optimized geometry, DFT PBE
# Volume: 16.29 Å³/atom
# N(E_F): 3.03 states/eV per cell
# Spin magnetization: 0.000 μB/f.u.
data_IrPtSe
_chemical_formula_sum 'Ir1 Pt1 Se1'
_space_group_name_H-M_alt 'P 3 m 1'
_space_group_IT_number 156
_space_group_name_Hall 'P 3 -2"'
_cell_length_a 2.9864
_cell_length_b 2.9864
_cell_length_c 6.3262
_cell_angle_alpha 90.00
_cell_angle_beta 90.00
_cell_angle_gamma 120.00
loop_
_atom_site_label
_atom_site_type_symbol
_atom_site_fract_x
_atom_site_fract_y
_atom_site_fract_z
Ir1 Ir 0.0000 0.0000 0.0000
Pt1 Pt 0.6667 0.3333 0.3504
Se1 Se 0.3333 0.6667 0.7079

#four
# IrPtSe, optimized geometry, DFT PBE
# Volume: 18.80 Å³/atom
# N(E_F): 17.54 states/eV per cell
# Spin magnetization: 0.001 μB/f.u.
data_IrPtSe
_chemical_formula_sum 'Ir4 Pt4 Se4'
_space_group_name_H-M_alt 'F -4 3 m'
_space_group_IT_number 216
_space_group_name_Hall 'F -4 2 3'
_cell_length_a 6.087
_cell_length_b 6.087
_cell_length_c 6.087
_cell_angle_alpha 90.00
_cell_angle_beta 90.00
_cell_angle_gamma 90.00
loop_
_atom_site_label
_atom_site_type_symbol
_atom_site_fract_x
_atom_site_fract_y
_atom_site_fract_z
Ir1 Ir 0.000 0.000 0.000
Pt1 Pt 0.250 0.250 0.750
Se1 Se 0.250 0.250 0.250

Computed stability ranking, most favorable first: #three, #two, #four, #one

#one
# IrPtSe, optimized geometry, DFT PBE
# Volume: 17.16 Å³/atom
# N(E_F): 1.82 states/eV per cell
# Spin magnetization: 0.000 μB/f.u.
data_IrPtSe
_chemical_formula_sum 'Ir1 Pt1 Se1'
_space_group_name_H-M_alt 'P 3 m 1'
_space_group_IT_number 156
_space_group_name_Hall 'P 3 -2"'
_cell_length_a 3.8757
_cell_length_b 3.8757
_cell_length_c 3.9568
_cell_angle_alpha 90.00
_cell_angle_beta 90.00
_cell_angle_gamma 120.00
loop_
_atom_site_label
_atom_site_type_symbol
_atom_site_fract_x
_atom_site_fract_y
_atom_site_fract_z
Ir1 Ir 0.0000 0.0000 0.0000
Pt1 Pt 0.3333 0.6667 0.3910
Se1 Se 0.6667 0.3333 0.7500

#two
# IrPtSe, optimized geometry, DFT PBE
# Volume: 16.33 Å³/atom
# N(E_F): 4.59 states/eV per cell
# Spin magnetization: 0.000 μB/f.u.
data_IrPtSe
_chemical_formula_sum 'Ir2 Pt2 Se2'
_space_group_name_H-M_alt 'I 4 m m'
_space_group_IT_number 107
_space_group_name_Hall 'I 4 -2'
_cell_length_a 2.967
_cell_length_b 2.967
_cell_length_c 11.128
_cell_angle_alpha 90.00
_cell_angle_beta 90.00
_cell_angle_gamma 90.00
loop_
_atom_site_label
_atom_site_type_symbol
_atom_site_fract_x
_atom_site_fract_y
_atom_site_fract_z
Ir1 Ir 0.000 0.000 0.000
Pt1 Pt 0.000 0.000 0.328
Se1 Se 0.000 0.000 0.637

#three
# IrPtSe, optimized geometry, DFT PBE
# Volume: 16.54 Å³/atom
# N(E_F): 5.13 states/eV per cell
# Spin magnetization: 0.000 μB/f.u.
data_IrPtSe
_chemical_formula_sum 'Ir2 Pt2 Se2'
_space_group_name_H-M_alt 'I m m 2'
_space_group_IT_number 44
_space_group_name_Hall 'I 2 -2'
_cell_length_a 2.912
_cell_length_b 3.770
_cell_length_c 9.041
_cell_angle_alpha 90.00
_cell_angle_beta 90.00
_cell_angle_gamma 90.00
loop_
_atom_site_label
_atom_site_type_symbol
_atom_site_fract_x
_atom_site_fract_y
_atom_site_fract_z
Ir1 Ir 0.000 0.000 0.000
Pt1 Pt 0.000 0.000 0.679
Se1 Se 0.000 0.000 0.391

Computed stability ranking, most favorable first: #one, #two, #three

#one
# IrPtSe4, optimized geometry, DFT PBE
# Volume: 19.12 Å³/atom
# N(E_F): 36.32 states/eV per cell
# Spin magnetization: 0.485 μB/f.u.
data_IrPtSe4
_chemical_formula_sum 'Ir4 Pt4 Se16'
_space_group_name_H-M_alt 'F -4 3 m'
_space_group_IT_number 216
_space_group_name_Hall 'F -4 2 3'
_cell_length_a 7.714
_cell_length_b 7.714
_cell_length_c 7.714
_cell_angle_alpha 90.00
_cell_angle_beta 90.00
_cell_angle_gamma 90.00
loop_
_atom_site_label
_atom_site_type_symbol
_atom_site_fract_x
_atom_site_fract_y
_atom_site_fract_z
Ir1 Ir 0.000 0.000 0.000
Pt1 Pt 0.250 0.250 0.750
Se1 Se 0.124 0.124 0.376

#two
# IrPtSe4, optimized geometry, DFT PBE
# Volume: 21.06 Å³/atom
# N(E_F): 2.01 states/eV per cell
# Spin magnetization: 0.000 μB/f.u.
data_IrPtSe4
_chemical_formula_sum 'Ir1 Pt1 Se4'
_space_group_name_H-M_alt 'P 1 2/m 1'
_space_group_IT_number 10
_space_group_name_Hall '-P 2y'
_cell_length_a 5.132
_cell_length_b 3.771
_cell_length_c 6.529
_cell_angle_alpha 90.00
_cell_angle_beta 90.35
_cell_angle_gamma 90.00
loop_
_atom_site_label
_atom_site_type_symbol
_atom_site_fract_x
_atom_site_fract_y
_atom_site_fract_z
Ir1 Ir 0.000 0.000 0.000
Pt1 Pt 0.000 0.500 0.500
Se1 Se 0.247 0.000 0.330
Se2 Se 0.250 0.500 0.840

Computed stability ranking, most favorable first: #two, #one

#one
# SnIrPtSe, optimized geometry, DFT PBE
# Volume: 18.34 Å³/atom
# N(E_F): 1.75 states/eV per cell
# Spin magnetization: 0.000 μB/f.u.
data_SnIrPtSe
_chemical_formula_sum 'Sn1 Ir1 Pt1 Se1'
_space_group_name_H-M_alt 'P 4 m m'
_space_group_IT_number 99
_space_group_name_Hall 'P 4 -2'
_cell_length_a 3.590
_cell_length_b 3.590
_cell_length_c 5.690
_cell_angle_alpha 90.00
_cell_angle_beta 90.00
_cell_angle_gamma 90.00
loop_
_atom_site_label
_atom_site_type_symbol
_atom_site_fract_x
_atom_site_fract_y
_atom_site_fract_z
Sn1 Sn 0.000 0.000 0.000
Ir1 Ir 0.000 0.000 0.507
Pt1 Pt 0.500 0.500 0.191
Se1 Se 0.500 0.500 0.621

#two
# SnIrPtSe, optimized geometry, DFT PBE
# Volume: 19.82 Å³/atom
# N(E_F): 3.60 states/eV per cell
# Spin magnetization: 0.000 μB/f.u.
data_SnIrPtSe
_chemical_formula_sum 'Sn2 Ir2 Pt2 Se2'
_space_group_name_H-M_alt 'C 1 m 1'
_space_group_IT_number 8
_space_group_name_Hall 'C -2y'
_cell_length_a 7.555
_cell_length_b 3.879
_cell_length_c 5.452
_cell_angle_alpha 90.00
_cell_angle_beta 97.05
_cell_angle_gamma 90.00
loop_
_atom_site_label
_atom_site_type_symbol
_atom_site_fract_x
_atom_site_fract_y
_atom_site_fract_z
Sn1 Sn 0.000 0.000 0.000
Ir1 Ir 0.217 0.500 0.236
Pt1 Pt 0.143 0.500 0.729
Se1 Se 0.326 0.000 0.499

Computed stability ranking, most favorable first: #two, #one

#one
# SnIrPtSe, optimized geometry, DFT PBE
# Volume: 20.38 Å³/atom
# N(E_F): 4.59 states/eV per cell
# Spin magnetization: 0.000 μB/f.u.
data_SnIrPtSe
_chemical_formula_sum 'Sn3 Ir3 Pt3 Se3'
_space_group_name_H-M_alt 'R 3 m'
_space_group_IT_number 160
_space_group_name_Hall 'R 3 -2"'
_cell_length_a 4.0774
_cell_length_b 4.0774
_cell_length_c 16.9832
_cell_angle_alpha 90.00
_cell_angle_beta 90.00
_cell_angle_gamma 120.00
loop_
_atom_site_label
_atom_site_type_symbol
_atom_site_fract_x
_atom_site_fract_y
_atom_site_fract_z
Sn1 Sn 0.0000 0.0000 0.0000
Ir1 Ir 0.0000 0.0000 0.8326
Pt1 Pt 0.0000 0.0000 0.4078
Se1 Se 0.0000 0.0000 0.2013

#two
# SnIrPtSe, optimized geometry, DFT PBE
# Volume: 19.48 Å³/atom
# N(E_F): 2.43 states/eV per cell
# Spin magnetization: 0.000 μB/f.u.
data_SnIrPtSe
_chemical_formula_sum 'Sn1 Ir1 Pt1 Se1'
_space_group_name_H-M_alt 'P 1 m 1'
_space_group_IT_number 6
_space_group_name_Hall 'P -2y'
_cell_length_a 3.982
_cell_length_b 3.728
_cell_length_c 5.443
_cell_angle_alpha 90.00
_cell_angle_beta 105.25
_cell_angle_gamma 90.00
loop_
_atom_site_label
_atom_site_type_symbol
_atom_site_fract_x
_atom_site_fract_y
_atom_site_fract_z
Sn1 Sn 0.000 0.000 0.000
Ir1 Ir 0.301 0.000 0.522
Pt1 Pt 0.466 0.500 0.911
Se1 Se 0.612 0.500 0.395

#three
# SnIrPtSe, optimized geometry, DFT PBE
# Volume: 20.33 Å³/atom
# N(E_F): 4.56 states/eV per cell
# Spin magnetization: 0.000 μB/f.u.
data_SnIrPtSe
_chemical_formula_sum 'Sn2 Ir2 Pt2 Se2'
_space_group_name_H-M_alt 'C 1 m 1'
_space_group_IT_number 8
_space_group_name_Hall 'C -2y'
_cell_length_a 7.178
_cell_length_b 3.913
_cell_length_c 5.792
_cell_angle_alpha 90.00
_cell_angle_beta 90.12
_cell_angle_gamma 90.00
loop_
_atom_site_label
_atom_site_type_symbol
_atom_site_fract_x
_atom_site_fract_y
_atom_site_fract_z
Sn1 Sn 0.000 0.000 0.000
Ir1 Ir 0.002 0.000 0.506
Pt1 Pt 0.326 0.000 0.226
Se1 Se 0.177 0.500 0.625

#four
# SnIrPtSe, optimized geometry, DFT PBE
# Volume: 20.56 Å³/atom
# N(E_F): 2.72 states/eV per cell
# Spin magnetization: 0.000 μB/f.u.
data_SnIrPtSe
_chemical_formula_sum 'Sn2 Ir2 Pt2 Se2'
_space_group_name_H-M_alt 'C 1 m 1'
_space_group_IT_number 8
_space_group_name_Hall 'C -2y'
_cell_length_a 9.232
_cell_length_b 3.700
_cell_length_c 6.005
_cell_angle_alpha 90.00
_cell_angle_beta 126.67
_cell_angle_gamma 90.00
loop_
_atom_site_label
_atom_site_type_symbol
_atom_site_fract_x
_atom_site_fract_y
_atom_site_fract_z
Sn1 Sn 0.000 0.000 0.000
Ir1 Ir 0.178 0.500 0.915
Pt1 Pt 0.367 0.000 0.339
Se1 Se 0.099 0.000 0.575

Computed stability ranking, most favorable first: #three, #one, #four, #two

#one
# SnIrPtSe, optimized geometry, DFT PBE
# Volume: 19.38 Å³/atom
# N(E_F): 3.62 states/eV per cell
# Spin magnetization: 0.000 μB/f.u.
data_SnIrPtSe
_chemical_formula_sum 'Sn2 Ir2 Pt2 Se2'
_space_group_name_H-M_alt 'C 1 m 1'
_space_group_IT_number 8
_space_group_name_Hall 'C -2y'
_cell_length_a 6.824
_cell_length_b 3.036
_cell_length_c 7.633
_cell_angle_alpha 90.00
_cell_angle_beta 101.37
_cell_angle_gamma 90.00
loop_
_atom_site_label
_atom_site_type_symbol
_atom_site_fract_x
_atom_site_fract_y
_atom_site_fract_z
Sn1 Sn 0.000 0.000 0.000
Ir1 Ir 0.385 0.000 0.265
Pt1 Pt 0.139 0.500 0.757
Se1 Se 0.132 0.000 0.462

#two
# SnIrPtSe, optimized geometry, DFT PBE
# Volume: 19.52 Å³/atom
# N(E_F): 4.50 states/eV per cell
# Spin magnetization: 0.000 μB/f.u.
data_SnIrPtSe
_chemical_formula_sum 'Sn2 Ir2 Pt2 Se2'
_space_group_name_H-M_alt 'I m m 2'
_space_group_IT_number 44
_space_group_name_Hall 'I 2 -2'
_cell_length_a 3.397
_cell_length_b 3.623
_cell_length_c 12.689
_cell_angle_alpha 90.00
_cell_angle_beta 90.00
_cell_angle_gamma 90.00
loop_
_atom_site_label
_atom_site_type_symbol
_atom_site_fract_x
_atom_site_fract_y
_atom_site_fract_z
Sn1 Sn 0.000 0.000 0.000
Ir1 Ir 0.000 0.000 0.601
Pt1 Pt 0.000 0.000 0.386
Se1 Se 0.000 0.500 0.241

Computed stability ranking, most favorable first: #two, #one

#one
# Si2IrPt, optimized geometry, DFT PBE
# Volume: 14.23 Å³/atom
# N(E_F): 3.56 states/eV per cell
# Spin magnetization: 0.000 μB/f.u.
data_Si2IrPt
_chemical_formula_sum 'Si4 Ir2 Pt2'
_space_group_name_H-M_alt 'C 1 2/m 1'
_space_group_IT_number 12
_space_group_name_Hall '-C 2y'
_cell_length_a 7.842
_cell_length_b 2.983
_cell_length_c 4.969
_cell_angle_alpha 90.00
_cell_angle_beta 101.67
_cell_angle_gamma 90.00
loop_
_atom_site_label
_atom_site_type_symbol
_atom_site_fract_x
_atom_site_fract_y
_atom_site_fract_z
Si1 Si 0.247 0.000 0.235
Ir1 Ir 0.000 0.500 0.000
Pt1 Pt 0.000 0.000 0.500

#two
# Si2IrPt, optimized geometry, DFT PBE
# Volume: 14.14 Å³/atom
# N(E_F): 2.79 states/eV per cell
# Spin magnetization: 0.000 μB/f.u.
data_Si2IrPt
_chemical_formula_sum 'Si4 Ir2 Pt2'
_space_group_name_H-M_alt 'I -4 m 2'
_space_group_IT_number 119
_space_group_name_Hall 'I -4 -2'
_cell_length_a 3.621
_cell_length_b 3.621
_cell_length_c 8.627
_cell_angle_alpha 90.00
_cell_angle_beta 90.00
_cell_angle_gamma 90.00
loop_
_atom_site_label
_atom_site_type_symbol
_atom_site_fract_x
_atom_site_fract_y
_atom_site_fract_z
Si1 Si 0.000 0.000 0.000
Si2 Si 0.000 0.500 0.250
Ir1 Ir 0.000 0.500 0.750
Pt1 Pt 0.000 0.000 0.500

#three
# Si2IrPt, optimized geometry, DFT PBE
# Volume: 15.06 Å³/atom
# N(E_F): 4.39 states/eV per cell
# Spin magnetization: 0.000 μB/f.u.
data_Si2IrPt
_chemical_formula_sum 'Si8 Ir4 Pt4'
_space_group_name_H-M_alt 'P n m a'
_space_group_IT_number 62
_space_group_name_Hall '-P 2ac 2n'
_cell_length_a 11.588
_cell_length_b 3.490
_cell_length_c 5.957
_cell_angle_alpha 90.00
_cell_angle_beta 90.00
_cell_angle_gamma 90.00
loop_
_atom_site_label
_atom_site_type_symbol
_atom_site_fract_x
_atom_site_fract_y
_atom_site_fract_z
Si1 Si 0.050 0.250 0.149
Si2 Si 0.208 0.750 0.321
Ir1 Ir 0.147 0.750 0.936
Pt1 Pt 0.106 0.250 0.534

#four
# Si2IrPt, optimized geometry, DFT PBE
# Volume: 14.06 Å³/atom
# N(E_F): 1.73 states/eV per cell
# Spin magnetization: 0.000 μB/f.u.
data_Si2IrPt
_chemical_formula_sum 'Si2 Ir1 Pt1'
_space_group_name_H-M_alt 'P 1 2/m 1'
_space_group_IT_number 10
_space_group_name_Hall '-P 2y'
_cell_length_a 2.856
_cell_length_b 3.131
_cell_length_c 6.290
_cell_angle_alpha 90.00
_cell_angle_beta 90.57
_cell_angle_gamma 90.00
loop_
_atom_site_label
_atom_site_type_symbol
_atom_site_fract_x
_atom_site_fract_y
_atom_site_fract_z
Si1 Si 0.003 0.000 0.242
Ir1 Ir 0.500 0.500 0.000
Pt1 Pt 0.500 0.500 0.500

Computed stability ranking, most favorable first: #three, #one, #four, #two

#one
# Si2IrPt, optimized geometry, DFT PBE
# Volume: 15.20 Å³/atom
# N(E_F): 2.82 states/eV per cell
# Spin magnetization: 0.000 μB/f.u.
data_Si2IrPt
_chemical_formula_sum 'Si4 Ir2 Pt2'
_space_group_name_H-M_alt 'I m m 2'
_space_group_IT_number 44
_space_group_name_Hall 'I 2 -2'
_cell_length_a 2.756
_cell_length_b 3.590
_cell_length_c 12.291
_cell_angle_alpha 90.00
_cell_angle_beta 90.00
_cell_angle_gamma 90.00
loop_
_atom_site_label
_atom_site_type_symbol
_atom_site_fract_x
_atom_site_fract_y
_atom_site_fract_z
Si1 Si 0.000 0.000 0.000
Si2 Si 0.000 0.500 0.247
Ir1 Ir 0.000 0.500 0.667
Pt1 Pt 0.000 0.000 0.404

#two
# Si2IrPt, optimized geometry, DFT PBE
# Volume: 15.02 Å³/atom
# N(E_F): 1.57 states/eV per cell
# Spin magnetization: 0.000 μB/f.u.
data_Si2IrPt
_chemical_formula_sum 'Si2 Ir1 Pt1'
_space_group_name_H-M_alt 'P m m m'
_space_group_IT_number 47
_space_group_name_Hall '-P 2 2'
_cell_length_a 2.861
_cell_length_b 4.024
_cell_length_c 5.218
_cell_angle_alpha 90.00
_cell_angle_beta 90.00
_cell_angle_gamma 90.00
loop_
_atom_site_label
_atom_site_type_symbol
_atom_site_fract_x
_atom_site_fract_y
_atom_site_fract_z
Si1 Si 0.000 0.000 0.000
Si2 Si 0.500 0.000 0.500
Ir1 Ir 0.000 0.500 0.500
Pt1 Pt 0.500 0.500 0.000

#three
# Si2IrPt, optimized geometry, DFT PBE
# Volume: 14.10 Å³/atom
# N(E_F): 9.86 states/eV per cell
# Spin magnetization: 0.000 μB/f.u.
data_Si2IrPt
_chemical_formula_sum 'Si8 Ir4 Pt4'
_space_group_name_H-M_alt 'F m -3 m'
_space_group_IT_number 225
_space_group_name_Hall '-F 4 2 3'
_cell_length_a 6.087
_cell_length_b 6.087
_cell_length_c 6.087
_cell_angle_alpha 90.00
_cell_angle_beta 90.00
_cell_angle_gamma 90.00
loop_
_atom_site_label
_atom_site_type_symbol
_atom_site_fract_x
_atom_site_fract_y
_atom_site_fract_z
Si1 Si 0.250 0.250 0.250
Ir1 Ir 0.000 0.000 0.000
Pt1 Pt 0.000 0.000 0.500

Computed stability ranking, most favorable first: #one, #three, #two